## AlAgS2 (PBE)

Data for crystalline AlAgS2 at its relaxed geometry.

Calculated values
Magnetic moment: 0.0 μB/cell
VASP energy: -71.5 eV per cell
Density of states at the Fermi level: 0.000 states/eV per cell
Formation energy without anion corrections: -0.76 eV per atom

Cell lengths 5.7503, 5.7503, 10.4746 Å; angles 90.00, 90.00, 90.00 degrees
With the nearest neighbours (Å) after each atom.
Space group I-42d (No. 122)
Symmetry-distinct sites (fractional):
Al (0.0000, 0.0000, 0.0000) [4 per cell]  4 S 2.27
Ag (0.0000, 0.0000, 0.5000) [4 per cell]  4 S 2.58
S (0.2053, 0.2500, 0.1250) [8 per cell]  2 Al 2.27

***

## AlAgS4 (PBE)

Data for crystalline AlAgS4 at its relaxed geometry.

Calculated values
Magnetic moment: 0.0 μB/cell
VASP energy: -99.1 eV per cell
Density of states at the Fermi level: 10.313 states/eV per cell
Formation energy without anion corrections: -0.28 eV per atom

Cell lengths 5.2440, 22.0771, 6.1723 Å; angles 90.00, 102.98, 90.00 degrees
With the nearest neighbours (Å) after each atom.
Space group C2/c (No. 15)
Symmetry-distinct sites (fractional):
Al (0.0000, 0.0010, 0.2500) [4 per cell]  4 S 2.25-2.26
Ag (0.0000, 0.3652, 0.7500) [4 per cell]  4 S 2.48-2.58
S (0.1884, 0.2197, 0.3163) [8 per cell]  1 S 1.96
S (0.1932, 0.0594, 0.0357) [8 per cell]  2 Al 2.25-2.26, 1 Ag 2.48

***

## AlAgS (PBE)

Data for crystalline AlAgS at its relaxed geometry.

Calculated values
Magnetic moment: 0.0 μB/cell
VASP energy: -45.8 eV per cell
Density of states at the Fermi level: 3.527 states/eV per cell
Formation energy without anion corrections: -0.24 eV per atom

Cell lengths 4.4379, 5.7099, 10.8304 Å; angles 90.00, 90.00, 90.00 degrees
With the nearest neighbours (Å) after each atom.
Space group Immm (No. 71)
Symmetry-distinct sites (fractional):
Al (0.0000, 0.2256, 0.0000) [4 per cell]  2 S 2.27
Ag (0.0000, 0.5000, 0.3797) [4 per cell]  1 S 2.47, 1 Ag 2.60
S (0.0000, 0.5000, 0.1521) [4 per cell]  2 Al 2.27, 1 Ag 2.47

***

## AlAgS2 (PBE)

Data for crystalline AlAgS2 at its relaxed geometry.

Calculated values
Magnetic moment: 0.0 μB/cell
VASP energy: -52.6 eV per cell
Density of states at the Fermi level: 0.000 states/eV per cell
Formation energy without anion corrections: -0.67 eV per atom

Cell lengths 3.5405, 3.5405, 20.7648 Å; angles 90.00, 90.00, 120.00 degrees
With the nearest neighbours (Å) after each atom.
Space group R3m (No. 160, hexagonal axes)
Symmetry-distinct sites (fractional):
Al (0.0000, 0.0000, 0.0000) [3 per cell]  6 S 2.40-2.47
Ag (0.0000, 0.0000, 0.8439) [3 per cell]  1 S 2.43
S (0.0000, 0.0000, 0.2666) [3 per cell]  3 Al 2.47, 3 Ag 2.76
S (0.0000, 0.0000, 0.7269) [3 per cell]  3 Al 2.40, 1 Ag 2.43